No. 1
The following is a GGA-PBEsol calculation of an optimized crystal structure of CsZnH3, from Alexandria.

Output
Calculated total energy   -1.301 eV/atom
Space group   Pm-3m

Cell: 4.982 4.982 4.982 Å, 90.00 90.00 90.00°
Atoms (fractional coordinates):
Cs  0.000  0.000  0.000
H  0.000  0.500  0.000
H  0.000  0.000  0.500
H  0.500  0.000  0.000
Zn  0.500  0.500  0.500

---

No. 2
The following is a GGA-PBEsol calculation of an optimized crystal structure of Cs3ZnH5, from Alexandria.

Output
Calculated total energy   -2.563 eV/atom
Space group   I4/mcm

Cell: 8.015 8.238 8.015 Å, 60.89 90.00 119.11°
Atoms (fractional coordinates):
Cs  0.822  0.000  0.322
Cs  0.250  0.500  0.750
Cs  0.178  0.000  0.678
Cs  0.322  0.000  0.178
Cs  0.678  0.000  0.822
Cs  0.750  0.500  0.250
Zn  0.250  0.500  0.250
Zn  0.750  0.500  0.750
H  0.287  0.337  0.213
H  0.550  0.337  0.713
H  0.713  0.663  0.787
H  0.950  0.663  0.550
H  0.000  0.000  0.000
H  0.787  0.337  0.950
H  0.050  0.337  0.450
H  0.450  0.663  0.287
H  0.500  0.000  0.500
H  0.213  0.663  0.050

---

No. 3
The following is a GGA-PBEsol calculation of an optimized crystal structure of Cs2HfMgIr, from Alexandria.

Output
Formation enthalpy at 0 K   1.498 eV per atom
Calculated total energy   -3.288 eV/atom
Space group   P4/mmm

Cell: 5.177 5.824 5.824 Å, 90.00 90.00 90.00°
Atoms (fractional coordinates):
Hf  0.500  0.500  0.500
Ir  0.000  0.000  0.000
Cs  0.000  0.000  0.500
Cs  0.000  0.500  0.000
Mg  0.500  0.000  0.000

---

No. 4
The following is a GGA-PBEsol calculation of an optimized crystal structure of CsK3Hf, from Alexandria.

Output
Formation enthalpy at 0 K   1.477 eV per atom
Calculated total energy   -1.492 eV/atom
Space group   Pm-3m

Cell: 6.697 6.697 6.697 Å, 90.00 90.00 90.00°
Atoms (fractional coordinates):
Cs  0.000  0.000  0.000
Hf  0.500  0.500  0.500
K  0.500  0.000  0.000
K  0.000  0.500  0.000
K  0.000  0.000  0.500

---

No. 5
The following is a GGA-PBEsol calculation of an optimized crystal structure of CsKHfTa2, from Alexandria.

Output
Formation enthalpy at 0 K   1.730 eV per atom
Calculated total energy   -5.806 eV/atom
Space group   P4/mmm

Cell: 5.022 5.022 6.646 Å, 90.00 90.00 90.00°
Atoms (fractional coordinates):
Ta  0.000  0.500  0.000
Ta  0.500  0.000  0.000
K  0.000  0.000  0.500
Cs  0.500  0.500  0.500
Hf  0.000  0.000  0.000

---

No. 6
The following is a GGA-PBEsol calculation of an optimized crystal structure of CsLi3Hf, from Alexandria.

Output
Formation enthalpy at 0 K   1.343 eV per atom
Calculated total energy   -2.126 eV/atom
Space group   Pm-3m

Cell: 5.050 5.050 5.050 Å, 90.00 90.00 90.00°
Atoms (fractional coordinates):
Cs  0.000  0.000  0.000
Li  0.000  0.000  0.500
Li  0.500  0.000  0.000
Li  0.000  0.500  0.000
Hf  0.500  0.500  0.500

---

No. 7
The following is a GGA-PBEsol calculation of an optimized crystal structure of CsLiHfNb2, from Alexandria.

Output
Formation enthalpy at 0 K   2.442 eV per atom
Calculated total energy   -4.569 eV/atom
Space group   P4/mmm

Cell: 5.016 5.016 5.251 Å, 90.00 90.00 90.00°
Atoms (fractional coordinates):
Cs  0.000  0.000  0.000
Nb  0.500  0.000  0.000
Nb  0.000  0.500  0.000
Li  0.500  0.500  0.500
Hf  0.000  0.000  0.500

---

No. 8
The following is a GGA-PBEsol calculation of an optimized crystal structure of CsHfMg2Ni, from Alexandria.

Output
Formation enthalpy at 0 K   1.827 eV per atom
Calculated total energy   -2.380 eV/atom
Space group   P4/mmm

Cell: 4.635 5.455 5.455 Å, 90.00 90.00 90.00°
Atoms (fractional coordinates):
Mg  0.000  0.000  0.500
Mg  0.000  0.500  0.000
Hf  0.500  0.500  0.500
Ni  0.500  0.000  0.000
Cs  0.000  0.000  0.000

---

No. 9
The following is a GGA-PBEsol calculation of an optimized crystal structure of CsHfMgPt2, from Alexandria.

Output
Formation enthalpy at 0 K   0.427 eV per atom
Calculated total energy   -4.991 eV/atom
Space group   P4/mmm

Cell: 5.041 5.041 5.676 Å, 90.00 90.00 90.00°
Atoms (fractional coordinates):
Pt  0.500  0.000  0.000
Pt  0.000  0.500  0.000
Hf  0.000  0.000  0.000
Cs  0.500  0.500  0.500
Mg  0.000  0.000  0.500

---

No. 10
The following is a GGA-PBEsol calculation of an optimized crystal structure of CsSrHf2Mg, from Alexandria.

Output
Formation enthalpy at 0 K   1.747 eV per atom
Calculated total energy   -3.355 eV/atom
Space group   P4/mmm

Cell: 5.339 5.339 5.764 Å, 90.00 90.00 90.00°
Atoms (fractional coordinates):
Mg  0.500  0.500  0.500
Sr  0.000  0.000  0.500
Hf  0.000  0.500  0.000
Hf  0.500  0.000  0.000
Cs  0.000  0.000  0.000

---

No. 11
The following is a GGA-PBEsol calculation of an optimized crystal structure of CsHf2PtN, from Alexandria.

Output
Calculated total energy   -7.192 eV/atom
Space group   P4/mmm

Cell: 4.396 4.396 5.021 Å, 90.00 90.00 90.00°
Atoms (fractional coordinates):
N  0.000  0.000  0.000
Pt  0.000  0.000  0.500
Cs  0.500  0.500  0.500
Hf  0.500  0.000  0.000
Hf  0.000  0.500  0.000

---

No. 12
The following is a GGA-PBEsol calculation of an optimized crystal structure of CsHfSN2, from Alexandria.

Output
Calculated total energy   -4.577 eV/atom
Space group   P4/mmm

Cell: 4.089 4.089 5.744 Å, 90.00 90.00 90.00°
Atoms (fractional coordinates):
N  0.500  0.000  0.000
N  0.000  0.500  0.000
S  0.000  0.000  0.500
Hf  0.500  0.500  0.500
Cs  0.000  0.000  0.000

---

No. 13
The following is a GGA-PBEsol calculation of an optimized crystal structure of Cs2NaHfPb, from Alexandria.

Output
Formation enthalpy at 0 K   0.686 eV per atom
Calculated total energy   -2.872 eV/atom
Space group   P4/mmm

Cell: 5.526 7.399 7.399 Å, 90.00 90.00 90.00°
Atoms (fractional coordinates):
Cs  0.000  0.500  0.000
Cs  0.000  0.000  0.500
Pb  0.000  0.000  0.000
Hf  0.500  0.000  0.000
Na  0.500  0.500  0.500

---

No. 14
The following is a GGA-PBEsol calculation of an optimized crystal structure of Cs2NaHfSn, from Alexandria.

Output
Formation enthalpy at 0 K   1.125 eV per atom
Calculated total energy   -2.485 eV/atom
Space group   P4/mmm

Cell: 5.702 5.911 5.911 Å, 90.00 90.00 90.00°
Atoms (fractional coordinates):
Cs  0.000  0.500  0.000
Cs  0.000  0.000  0.500
Hf  0.500  0.500  0.500
Sn  0.500  0.000  0.000
Na  0.000  0.000  0.000

---

No. 15
The following is a GGA-PBEsol calculation of an optimized crystal structure of Cs2HfW3O12, from Alexandria.

Output
Calculated total energy   -8.938 eV/atom
Space group   R-3m

Cell: 7.331 7.331 7.413 Å, 60.37 60.37 60.00°
Atoms (fractional coordinates):
O  0.693  0.061  0.553
O  0.064  0.672  0.199
O  0.307  0.939  0.447
O  0.328  0.936  0.801
O  0.939  0.307  0.447
O  0.936  0.328  0.801
O  0.061  0.693  0.553
O  0.693  0.693  0.553
O  0.936  0.936  0.801
O  0.672  0.064  0.199
O  0.064  0.064  0.199
O  0.307  0.307  0.447
Cs  0.628  0.628  0.117
Cs  0.372  0.372  0.883
W  0.000  0.500  0.500
W  0.500  0.000  0.500
W  0.000  0.000  0.500
Hf  0.000  0.000  0.000

---

No. 16
The following is a GGA-PBEsol calculation of an optimized crystal structure of Cs3Hf2P5S18, from Alexandria.

Output
Calculated total energy   -5.528 eV/atom
Space group   Cc

Cell: 6.808 6.808 33.905 Å, 93.26 93.26 93.11°
Atoms (fractional coordinates):
S  0.319  0.774  0.451
S  0.512  0.005  0.390
S  0.381  0.977  0.735
S  0.078  0.724  0.669
S  0.494  0.526  0.883
S  0.699  0.788  0.964
S  0.885  0.833  0.588
S  0.981  0.494  0.032
S  0.526  0.494  0.383
S  0.928  0.137  0.512
S  0.866  0.953  0.728
S  0.188  0.197  0.155
S  0.826  0.523  0.142
S  0.432  0.334  0.476
S  0.303  0.660  0.289
S  0.660  0.303  0.789
S  0.334  0.432  0.976
S  0.672  0.309  0.689
S  0.890  0.242  0.428
S  0.137  0.928  0.012
S  0.724  0.078  0.169
S  0.494  0.981  0.532
S  0.197  0.188  0.655
S  0.278  0.768  0.102
S  0.816  0.250  0.328
S  0.977  0.381  0.235
S  0.953  0.866  0.228
S  0.242  0.890  0.928
S  0.250  0.816  0.828
S  0.788  0.699  0.464
S  0.774  0.319  0.951
S  0.768  0.278  0.602
S  0.523  0.826  0.642
S  0.833  0.885  0.088
S  0.309  0.672  0.189
S  0.005  0.512  0.890
Cs  0.437  0.155  0.254
Cs  0.155  0.437  0.754
Cs  0.770  0.978  0.865
Cs  0.488  0.277  0.069
Cs  0.277  0.488  0.569
Cs  0.978  0.770  0.365
P  0.304  0.932  0.674
P  0.768  0.057  0.559
P  0.658  0.152  0.738
P  0.152  0.658  0.238
P  0.932  0.304  0.174
P  0.057  0.768  0.059
P  0.520  0.568  0.445
P  0.238  0.699  0.880
P  0.699  0.238  0.380
P  0.568  0.520  0.945
Hf  0.032  0.634  0.964
Hf  0.849  0.025  0.654
Hf  0.634  0.032  0.464
Hf  0.025  0.849  0.154

---

No. 17
The following is a GGA-PBEsol calculation of an optimized crystal structure of CsHfPb3, from Alexandria.

Output
Formation enthalpy at 0 K   0.037 eV per atom
Calculated total energy   -4.651 eV/atom
Space group   Pm-3m

Cell: 5.641 5.641 5.641 Å, 90.00 90.00 90.00°
Atoms (fractional coordinates):
Hf  0.000  0.000  0.000
Cs  0.500  0.500  0.500
Pb  0.000  0.500  0.000
Pb  0.500  0.000  0.000
Pb  0.000  0.000  0.500

---

No. 18
The following is a GGA-PBEsol calculation of an optimized crystal structure of CsHfSc2, from Alexandria.

Output
Formation enthalpy at 0 K   0.389 eV per atom
Calculated total energy   -5.775 eV/atom
Space group   R-3m

Cell: 3.312 3.312 11.801 Å, 81.93 81.93 60.00°
Atoms (fractional coordinates):
Cs  0.000  0.000  0.000
Hf  0.500  0.500  0.500
Sc  0.098  0.098  0.707
Sc  0.902  0.902  0.293

---

No. 19
The following is a GGA-PBEsol calculation of an optimized crystal structure of CsHfSe2, from Alexandria.

Output
Calculated total energy   -5.764 eV/atom
Space group   I-42d

Cell: 7.126 7.126 7.126 Å, 104.28 112.13 112.13°
Atoms (fractional coordinates):
Se  0.105  0.375  0.980
Se  0.895  0.875  0.270
Se  0.395  0.020  0.125
Se  0.605  0.730  0.625
Cs  0.500  0.250  0.750
Cs  0.000  0.500  0.500
Hf  0.000  0.000  0.000
Hf  0.500  0.750  0.250

---

No. 20
The following is a GGA-PBEsol calculation of an optimized crystal structure of Cs2HfSe, from Alexandria.

Output
Calculated total energy   -3.313 eV/atom
Space group   Fm-3m

Cell: 6.004 6.004 6.004 Å, 60.00 60.00 60.00°
Atoms (fractional coordinates):
Hf  0.500  0.500  0.500
Cs  0.250  0.250  0.250
Cs  0.750  0.750  0.750
Se  0.000  0.000  0.000